Entry from the Alexandria database: a geometry-optimized Sr2LaPd structure (PBE-GGA).

Cell and atoms, written as extended XYZ:
```
8
Lattice="4.245 0.000 0.000 0.000 18.354 0.000 0.000 0.000 4.245" Properties=species:S:1:pos:R:3 pbc="T T T"
Sr 0.000 1.507 0.000
Sr 0.000 13.790 0.003
Sr 2.123 4.564 2.126
Sr 2.123 16.847 2.123
La 0.000 7.736 0.011
La 2.123 10.618 2.133
Pd 0.000 10.727 0.011
Pd 2.123 7.627 2.134
```

ΔE to the lowest computed polymorph = 0 meV/atom
symmetry = Pmn2_1

=====

Entry from the Alexandria database: a geometry-optimized Sr2LaPd structure (PBE-GGA).

Cell and atoms, written as extended XYZ:
```
4
Lattice="1.993 1.151 11.443 -1.993 1.151 11.443 0.000 -2.302 11.443" Properties=species:S:1:pos:R:3 pbc="T T T"
Sr 0.000 0.000 3.814
Sr 0.000 0.000 30.514
La 0.000 0.000 0.000
Pd 0.000 0.000 17.164
```

ΔE to the lowest computed polymorph = 329 meV/atom
symmetry = R-3m

=====

Entry from the Alexandria database: a geometry-optimized SrLa3Pd structure (PBE-GGA).

Cell and atoms, written as extended XYZ:
```
5
Lattice="5.749 0.000 0.000 0.000 5.749 0.000 0.000 0.000 5.749" Properties=species:S:1:pos:R:3 pbc="T T T"
Sr 0.000 0.000 0.000
La 0.000 0.000 2.875
La 0.000 2.875 0.000
La 2.875 0.000 0.000
Pd 2.875 2.875 2.875
```

ΔE to the lowest computed polymorph = 1244 meV/atom
symmetry = Pm-3m